Be2GaNi2 | PBE | optimized geometry

Lattice parameters (Å, degrees): 6.2300 6.2300 2.6104 90.00 90.00 90.00
With the nearest neighbours (Å) after each atom.
Space group P4/mbm (No. 127)
Asymmetric unit:
Be 0.1227 0.3773 0.0000 x4  1 Be 2.16, 6 Ni 2.25-2.26
Ga 0.0000 0.0000 0.0000 x2  4 Be 2.47, 2 Ga 2.61, 8 Ni 2.66
Ni 0.1684 0.6684 0.5000 x4  6 Be 2.25-2.26

ΔE to the lowest computed polymorph ... 0.000 eV per atom
Total magnetic moment ... 0.00 μB per atom
Energy ... -4.75 eV/atom
Calculated formation energy ... -0.34 eV per atom

---

Be2GaNi2 | PBE | optimized geometry

Lattice parameters (Å, degrees): 2.9983 2.9983 12.0224 90.00 90.00 90.00
With the nearest neighbours (Å) after each atom.
Space group I4/mmm (No. 139)
Asymmetric unit:
Be 0.0000 0.5000 0.2500 x4  4 Be 2.12, 4 Ni 2.26
Ga 0.0000 0.0000 0.0000 x2  8 Ni 2.49
Ni 0.0000 0.0000 0.3910 x4  4 Be 2.26, 4 Ga 2.49

ΔE to the lowest computed polymorph ... 0.165 eV per atom
Total magnetic moment ... 0.00 μB per atom
Energy ... -4.58 eV/atom
Calculated formation energy ... -0.17 eV per atom

---

BeGaNi2 | PBE | optimized geometry

Lattice parameters (Å, degrees): 2.6370 2.6370 6.1398 90.00 90.00 90.00
With the nearest neighbours (Å) after each atom.
Space group P4/mmm (No. 123)
Asymmetric unit:
Be 0.0000 0.0000 0.0000 x1  8 Ni 2.29
Ga 0.0000 0.0000 0.5000 x1  8 Ni 2.55, 4 Ga 2.64
Ni 0.5000 0.5000 0.2163 x2  4 Be 2.29, 4 Ga 2.55

Total magnetic moment ... 0.00 μB per atom
Energy ... -4.97 eV/atom
Calculated formation energy ... -0.39 eV per atom

---

BeGaNi2 | PBE | optimized geometry

Lattice parameters (Å, degrees): 3.5190 3.5190 15.8637 90.00 90.00 90.00
With the nearest neighbours (Å) after each atom.
Space group I-42d (No. 122)
Asymmetric unit:
Be 0.0000 0.0000 0.0000 x4  4 Ni 2.31, 4 Ga 2.49
Ga 0.0000 0.0000 0.5000 x4  4 Ni 2.37, 4 Be 2.49
Ni 0.2264 0.2500 0.1250 x8  2 Be 2.31, 2 Ga 2.37, 2 Ni 2.37

Total magnetic moment ... 0.00 μB per atom
Energy ... -4.46 eV/atom
Calculated formation energy ... 0.11 eV per atom

---

BeGaNi4 | PBE | optimized geometry

Lattice parameters (Å, degrees): 2.6355 2.6355 9.2386 90.00 90.00 90.00
With the nearest neighbours (Å) after each atom.
Space group P4/mmm (No. 123)
Asymmetric unit:
Be 0.0000 0.0000 0.0000 x1  8 Ni 2.26
Ga 0.5000 0.5000 0.5000 x1  8 Ni 2.50, 4 Ga 2.64
Ni 0.0000 0.0000 0.3203 x2  4 Ga 2.50, 8 Ni 2.51-2.64
Ni 0.5000 0.5000 0.1391 x2  4 Be 2.26, 4 Ni 2.51

Total magnetic moment ... 0.00 μB per atom
Energy ... -5.25 eV/atom
Calculated formation energy ... -0.27 eV per atom

---

BeGaNi3 | PBE | optimized geometry

Lattice parameters (Å, degrees): 5.5149 5.5149 4.2651 90.00 90.00 120.00
With the nearest neighbours (Å) after each atom.
Space group P6_3/mmc (No. 194)
Asymmetric unit:
Be 0.0000 0.0000 0.0000 x2  6 Ni 2.07, 2 Be 2.13
Ga 0.3333 0.6667 0.2500 x2  12 Ni 2.56-2.76
Ni 0.1859 0.3718 0.7500 x6  2 Be 2.07

ΔE to the lowest computed polymorph ... 0.000 eV per atom
Total magnetic moment ... 0.00 μB per atom
Energy ... -4.95 eV/atom
Calculated formation energy ... -0.13 eV per atom

---

BeGaNi | PBE | optimized geometry

Lattice parameters (Å, degrees): 3.8495 3.8495 2.6231 90.00 90.00 120.00
With the nearest neighbours (Å) after each atom.
Space group P3m1 (No. 156)
Asymmetric unit:
Be 0.0000 0.0000 0.0000 x1  3 Ni 2.25, 3 Ga 2.46
Ga 0.6667 0.3333 0.5958 x1  6 Be 2.46-2.72, 6 Ni 2.54-2.63, 2 Ga 2.62
Ni 0.3333 0.6667 0.1293 x1  3 Be 2.25

ΔE to the lowest computed polymorph ... 0.108 eV per atom
Total magnetic moment ... 0.00 μB per atom
Energy ... -4.32 eV/atom
Calculated formation energy ... -0.15 eV per atom

---

BeGaNi | PBE | optimized geometry

Lattice parameters (Å, degrees): 2.8932 2.8932 7.9725 90.00 90.00 90.00
With the nearest neighbours (Å) after each atom.
Space group I4mm (No. 107)
Asymmetric unit:
Be 0.0000 0.0000 0.0000 x2  4 Ni 2.28, 5 Ga 2.49-2.53
Ga 0.0000 0.0000 0.6874 x2  5 Be 2.49-2.53, 5 Ni 2.51-2.52
Ni 0.0000 0.0000 0.3726 x2  4 Be 2.28, 5 Ga 2.51-2.52

ΔE to the lowest computed polymorph ... 0.000 eV per atom
Total magnetic moment ... 0.00 μB per atom
Energy ... -4.43 eV/atom
Calculated formation energy ... -0.25 eV per atom

---

BeGaNi2 | PBE | optimized geometry

Lattice parameters (Å, degrees): 3.7140 3.7140 3.1421 90.00 90.00 90.00
With the nearest neighbours (Å) after each atom.
Space group P4/mmm (No. 123)
Asymmetric unit:
Be 0.0000 0.0000 0.0000 x1  8 Ni 2.43, 4 Ga 2.63
Ga 0.5000 0.5000 0.0000 x1  8 Ni 2.43, 4 Be 2.63
Ni 0.0000 0.5000 0.5000 x2  4 Be 2.43, 4 Ga 2.43, 4 Ni 2.63

Total magnetic moment ... 0.00 μB per atom
Energy ... -4.95 eV/atom
Calculated formation energy ... -0.37 eV per atom

---

Be2GaNi2 | PBE | optimized geometry

Lattice parameters (Å, degrees): 6.3147 6.3147 2.6632 90.00 90.00 90.00
With the nearest neighbours (Å) after each atom.
Space group P4/mbm (No. 127)
Asymmetric unit:
Be 0.1402 0.3598 0.0000 x4  6 Ni 2.27-2.30, 1 Be 2.50
Ga 0.0000 0.0000 0.5000 x2  4 Ni 2.40, 2 Ga 2.66
Ni 0.1500 0.6500 0.5000 x4  6 Be 2.27-2.30, 2 Ga 2.40

ΔE to the lowest computed polymorph ... 0.089 eV per atom
Total magnetic moment ... 0.00 μB per atom
Energy ... -4.66 eV/atom
Calculated formation energy ... -0.25 eV per atom

---

BeGa2Ni | PBE | optimized geometry

Lattice parameters (Å, degrees): 3.7165 3.7165 16.4584 90.00 90.00 90.00
With the nearest neighbours (Å) after each atom.
Space group I-42d (No. 122)
Asymmetric unit:
Be 0.0000 0.0000 0.0000 x4  4 Ga 2.44, 4 Ni 2.63
Ga 0.2494 0.2500 0.1250 x8  2 Be 2.44, 2 Ni 2.44, 4 Ga 2.62-2.63
Ni 0.0000 0.0000 0.5000 x4  4 Ga 2.44, 4 Be 2.63

Total magnetic moment ... 0.00 μB per atom
Energy ... -3.73 eV/atom
Calculated formation energy ... 0.16 eV per atom

---

BeGaNi3 | PBE | optimized geometry

Lattice parameters (Å, degrees): 3.8826 3.8826 3.8826 90.00 90.00 90.00
With the nearest neighbours (Å) after each atom.
Space group Pm-3m (No. 221)
Asymmetric unit:
Be 0.0000 0.0000 0.0000 x1  6 Ni 1.94
Ga 0.5000 0.5000 0.5000 x1  12 Ni 2.75
Ni 0.0000 0.0000 0.5000 x3  2 Be 1.94

ΔE to the lowest computed polymorph ... 0.188 eV per atom
Total magnetic moment ... 0.00 μB per atom
Energy ... -4.76 eV/atom
Calculated formation energy ... 0.06 eV per atom